No. 1
! PBE K2ZnCuBi, relaxed; values from VASP
&SYSTEM
  ibrav = 0, nat = 5, ntyp = 4
/
ATOMIC_SPECIES
K 39.10 K.upf
Zn 65.41 Zn.upf
Cu 63.55 Cu.upf
Bi 208.98 Bi.upf
ATOMIC_POSITIONS angstrom
K 0.000 3.446 0.000
K 3.446 0.000 0.000
Zn 0.000 0.000 2.493
Cu 3.446 3.446 2.493
Bi 3.446 3.446 0.000
CELL_PARAMETERS angstrom
6.892 0.000 0.000
0.000 6.892 0.000
0.000 0.000 4.987
! **E**: -0.155 Ry/atom
! **Fermi-level density of states**: 0.3 states/eV per cell
! **Space-group type**: P4/mmm
! **Magnetic moment**: 0.00 μB/atom
! **DFT formation energy**: 175 meV/atom



No. 2
! PBE La2Cu2Bi, relaxed; values from VASP
&SYSTEM
  ibrav = 0, nat = 5, ntyp = 3
/
ATOMIC_SPECIES
La 138.91 La.upf
Cu 63.55 Cu.upf
Bi 208.98 Bi.upf
ATOMIC_POSITIONS angstrom
La 2.888 0.000 2.009
La 0.000 2.888 2.009
Cu 0.000 0.000 1.139
Cu 0.000 0.000 6.899
Bi 0.000 0.000 4.019
CELL_PARAMETERS angstrom
-2.888 2.888 4.019
2.888 -2.888 4.019
2.888 2.888 -4.019
! **E**: -0.339 Ry/atom
! **Fermi-level density of states**: 5.9 states/eV per cell
! **Space-group type**: I4/mmm
! **Magnetic moment**: 0.00 μB/atom
! **DFT formation energy**: -227 meV/atom
! **Polymorph energy (0 for the lowest one)**: 218 meV per atom